1.
# GGA-PBE ErTlZn, optimized geometry
# Final energy in eV/cell: -35.97
data_ErTlZn
_symmetry_space_group_name_H-M 'P n m a'
_symmetry_Int_Tables_number 62
_symmetry_space_group_name_Hall '-P 2ac 2n'
_cell_length_a 7.3000
_cell_length_b 4.6290
_cell_length_c 8.0890
_cell_angle_alpha 90.00
_cell_angle_beta 90.00
_cell_angle_gamma 90.00
loop_
_atom_site_label
_atom_site_type_symbol
_atom_site_fract_x
_atom_site_fract_y
_atom_site_fract_z
Er1 Er 0.0017 0.2500 0.2173
Tl1 Tl 0.2339 0.7500 0.4062
Zn1 Zn 0.1774 0.2500 0.5764

***

2.
# GGA-PBE ErTlZn, optimized geometry
# Final energy in eV/cell: -18.28
data_ErTlZn
_symmetry_space_group_name_H-M 'P 63 m c'
_symmetry_Int_Tables_number 186
_symmetry_space_group_name_Hall 'P 6c -2c'
_cell_length_a 4.6604
_cell_length_b 4.6604
_cell_length_c 7.2815
_cell_angle_alpha 90.00
_cell_angle_beta 90.00
_cell_angle_gamma 120.00
loop_
_atom_site_label
_atom_site_type_symbol
_atom_site_fract_x
_atom_site_fract_y
_atom_site_fract_z
Er1 Er 0.0000 0.0000 0.0000
Tl1 Tl 0.3333 0.6667 0.2203
Zn1 Zn 0.3333 0.6667 0.8040

***

3.
# GGA-PBE Er5TlZn4, optimized geometry
# Final energy in eV/cell: -33.74
data_Er5TlZn4
_symmetry_space_group_name_H-M 'P 4/m m m'
_symmetry_Int_Tables_number 123
_symmetry_space_group_name_Hall '-P 4 2'
_cell_length_a 3.5576
_cell_length_b 3.5576
_cell_length_c 18.0976
_cell_angle_alpha 90.00
_cell_angle_beta 90.00
_cell_angle_gamma 90.00
loop_
_atom_site_label
_atom_site_type_symbol
_atom_site_fract_x
_atom_site_fract_y
_atom_site_fract_z
Er1 Er 0.0000 0.0000 0.0000
Er2 Er 0.0000 0.0000 0.1928
Er3 Er 0.0000 0.0000 0.3846
Tl1 Tl 0.5000 0.5000 0.5000
Zn1 Zn 0.5000 0.5000 0.0974
Zn2 Zn 0.5000 0.5000 0.2878

***

4.
# GGA-PBE ErTlZn, optimized geometry
# Final energy in eV/cell: -18.03
data_ErTlZn
_symmetry_space_group_name_H-M 'P 63/m m c'
_symmetry_Int_Tables_number 194
_symmetry_space_group_name_Hall '-P 6c 2c'
_cell_length_a 4.7085
_cell_length_b 4.7085
_cell_length_c 7.1309
_cell_angle_alpha 90.00
_cell_angle_beta 90.00
_cell_angle_gamma 120.00
loop_
_atom_site_label
_atom_site_type_symbol
_atom_site_fract_x
_atom_site_fract_y
_atom_site_fract_z
Er1 Er 0.0000 0.0000 0.0000
Tl1 Tl 0.3333 0.6667 0.2500
Zn1 Zn 0.3333 0.6667 0.7500

***

5.
# GGA-PBE ErTlZn, optimized geometry
# Final energy in eV/cell: -17.29
data_ErTlZn
_symmetry_space_group_name_H-M 'P 63/m m c'
_symmetry_Int_Tables_number 194
_symmetry_space_group_name_Hall '-P 6c 2c'
_cell_length_a 5.1121
_cell_length_b 5.1121
_cell_length_c 6.1906
_cell_angle_alpha 90.00
_cell_angle_beta 90.00
_cell_angle_gamma 120.00
loop_
_atom_site_label
_atom_site_type_symbol
_atom_site_fract_x
_atom_site_fract_y
_atom_site_fract_z
Er1 Er 0.3333 0.6667 0.2500
Tl1 Tl 0.3333 0.6667 0.7500
Zn1 Zn 0.0000 0.0000 0.0000

***

6.
# GGA-PBE ErTlZn, optimized geometry
# Final energy in eV/cell: -35.61
data_ErTlZn
_symmetry_space_group_name_H-M 'F -4 3 m'
_symmetry_Int_Tables_number 216
_symmetry_space_group_name_Hall 'F -4 2 3'
_cell_length_a 6.6267
_cell_length_b 6.6267
_cell_length_c 6.6267
_cell_angle_alpha 90.00
_cell_angle_beta 90.00
_cell_angle_gamma 90.00
loop_
_atom_site_label
_atom_site_type_symbol
_atom_site_fract_x
_atom_site_fract_y
_atom_site_fract_z
Er1 Er 0.0000 0.0000 0.0000
Tl1 Tl 0.0000 0.0000 0.5000
Zn1 Zn 0.2500 0.2500 0.7500

***

Q: Which theoretical density values were calculated for the entries above? A: 10.62; 10.60; 9.44; 10.60; 10.36; 9.98, in g/cm3.